(1)
This record from the Alexandria database describes crystalline AcEr2Au at its relaxed geometry. The functional is PBE.

Lattice parameters (Å, degrees): 3.890 3.890 10.166 78.97 78.97 60.00
Fractional coordinates of all 4 atoms:
Ac 0.502 0.502 0.494
Er 0.062 0.062 0.814
Er 0.270 0.270 0.189
Au 0.666 0.666 0.003

Formation energy from the elements (eV/atom): -0.2897



(2)
This record from the Alexandria database describes crystalline AcEr4Au5 at its relaxed geometry. The functional is PBE.

Lattice parameters (Å, degrees): 3.607 3.607 18.425 90.00 90.00 90.00
Fractional coordinates of all 10 atoms:
Ac 0.000 0.000 0.000
Er 0.000 0.000 0.210
Er 0.000 0.000 0.404
Er 0.000 0.000 0.596
Er 0.000 0.000 0.790
Au 0.500 0.500 0.122
Au 0.500 0.500 0.307
Au 0.500 0.500 0.500
Au 0.500 0.500 0.693
Au 0.500 0.500 0.878

Formation energy from the elements (eV/atom): -0.8474



(3)
This record from the Alexandria database describes crystalline AcErAu at its relaxed geometry. The functional is PBE.

Lattice parameters (Å, degrees): 7.836 9.381 9.381 66.40 65.31 65.31
Fractional coordinates of all 18 atoms:
Ac 0.156 0.049 0.549
Ac 0.754 0.951 0.451
Ac 0.352 0.750 0.250
Ac 0.352 0.250 0.750
Ac 0.754 0.451 0.951
Ac 0.155 0.549 0.049
Er 0.011 0.000 0.000
Er 0.011 0.500 0.500
Er 0.753 0.371 0.371
Er 0.495 0.629 0.629
Er 0.495 0.129 0.129
Er 0.753 0.871 0.871
Au 0.754 0.250 0.750
Au 0.754 0.750 0.250
Au 0.086 0.167 0.167
Au 0.420 0.833 0.833
Au 0.420 0.333 0.333
Au 0.086 0.667 0.667

Formation energy from the elements (eV/atom): -0.5440



(4)
This record from the Alexandria database describes crystalline Ac2Er3Au2 at its relaxed geometry. The functional is PBE.

Lattice parameters (Å, degrees): 3.870 6.817 8.920 72.89 77.47 73.51
Fractional coordinates of all 7 atoms:
Ac 0.151 0.505 0.192
Ac 0.849 0.495 0.808
Er 0.500 0.000 0.000
Er 0.381 0.793 0.446
Er 0.619 0.207 0.554
Au 0.158 0.924 0.761
Au 0.842 0.076 0.239

Formation energy from the elements (eV/atom): -0.4880



| no. | energy (eV for the cell shown) | D(E_F) (states/eV/f.u.) | magnetic moment (μB per atom) |
| --- | --- | --- | --- |
| 1 | -17.7 | 4.91 | 0.00 |
| 2 | -47.2 | 4.25 | 0.00 |
| 3 | -81.5 | 2.59 | 0.00 |
| 4 | -31.9 | 9.06 | 0.00 |